[1]
Compound: SrDySe
Source: Alexandria
Functional: PBE
Structure: optimized geometry

a = 14.080 Å, b = 4.042 Å, c = 6.999 Å
α = 90.00°, β = 90.00°, γ = 90.00°
Space group Amm2 (No. 38)
Inequivalent atoms, fractional coordinates:
1 Sr 0.142 0.000 0.000
2 Dy 0.373 0.000 0.333
3 Se 0.000 0.000 0.334
4 Se 0.500 0.000 0.999

Uncorrected energy ... -4.27 eV/atom


[2]
Compound: SrDy6Se8
Source: Alexandria
Functional: PBE
Structure: optimized geometry

a = 11.5179 Å, b = 11.5179 Å, c = 12.7616 Å
α = 90.00°, β = 90.00°, γ = 120.00°
Space group R-3 (No. 148, hexagonal axes)
Inequivalent atoms, fractional coordinates:
1 Sr 0.0000 0.0000 0.0000
2 Dy 0.0122 0.8219 0.3831
3 Se 0.0000 0.0000 0.2360
4 Se 0.0300 0.7307 0.5898

Uncorrected energy ... -5.43 eV/atom


[3]
Compound: SrDy2Se
Source: Alexandria
Functional: PBE
Structure: optimized geometry

a = 3.8747 Å, b = 3.8747 Å, c = 31.5388 Å
α = 90.00°, β = 90.00°, γ = 120.00°
Space group R-3m (No. 166, hexagonal axes)
Inequivalent atoms, fractional coordinates:
1 Sr 0.0000 0.0000 0.0000
2 Dy 0.0000 0.0000 0.1125
3 Se 0.0000 0.0000 0.5000

Uncorrected energy ... -4.20 eV/atom


[4]
Compound: SrDySe2
Source: Alexandria
Functional: PBE
Structure: optimized geometry

a = 4.1369 Å, b = 4.1369 Å, c = 22.1451 Å
α = 90.00°, β = 90.00°, γ = 120.00°
Space group R3m (No. 160, hexagonal axes)
Inequivalent atoms, fractional coordinates:
1 Sr 0.0000 0.0000 0.0000
2 Dy 0.0000 0.0000 0.8259
3 Se 0.0000 0.0000 0.2377
4 Se 0.0000 0.0000 0.4201

Uncorrected energy ... -5.12 eV/atom
Energy relative to the lowest polymorph listed for this composition ... 69 meV/atom


[5]
Compound: Sr2Dy3Se6
Source: Alexandria
Functional: PBE
Structure: optimized geometry

a = 7.190 Å, b = 12.444 Å, c = 7.557 Å
α = 90.00°, β = 108.43°, γ = 90.00°
Space group C2/m (No. 12)
Inequivalent atoms, fractional coordinates:
1 Sr 0.000 0.167 0.000
2 Dy 0.000 0.000 0.500
3 Dy 0.000 0.334 0.500
4 Se 0.242 0.167 0.727
5 Se 0.243 0.500 0.728

Uncorrected energy ... -5.41 eV/atom


[6]
Compound: SrDySe2
Source: Alexandria
Functional: PBE
Structure: optimized geometry

a = 4.1997 Å, b = 4.1997 Å, c = 21.1743 Å
α = 90.00°, β = 90.00°, γ = 120.00°
Space group R-3m (No. 166, hexagonal axes)
Inequivalent atoms, fractional coordinates:
1 Sr 0.0000 0.0000 0.0000
2 Dy 0.0000 0.0000 0.5000
3 Se 0.0000 0.0000 0.2434

Uncorrected energy ... -5.19 eV/atom
Energy relative to the lowest polymorph listed for this composition ... 0 meV/atom


[7]
Compound: SrDy4Se6
Source: Alexandria
Functional: PBE
Structure: optimized geometry

a = 4.108 Å, b = 13.471 Å, c = 21.095 Å
α = 90.00°, β = 90.00°, γ = 90.00°
Space group Cmcm (No. 63)
Inequivalent atoms, fractional coordinates:
1 Sr 0.000 0.159 0.250
2 Dy 0.000 0.093 0.628
3 Dy 0.000 0.362 0.539
4 Se 0.000 0.000 0.000
5 Se 0.000 0.174 0.750
6 Se 0.000 0.269 0.087
7 Se 0.000 0.456 0.661

Uncorrected energy ... -5.61 eV/atom


[8]
Compound: SrDy5Se6
Source: Alexandria
Functional: PBE
Structure: optimized geometry

a = 7.120 Å, b = 12.352 Å, c = 7.178 Å
α = 90.00°, β = 109.38°, γ = 90.00°
Space group C2/m (No. 12)
Inequivalent atoms, fractional coordinates:
1 Sr 0.000 0.000 0.000
2 Dy 0.000 0.161 0.500
3 Dy 0.000 0.333 0.000
4 Dy 0.000 0.500 0.500
5 Se 0.241 0.500 0.250
6 Se 0.243 0.329 0.742

Uncorrected energy ... -5.58 eV/atom


no.,uncorrected formation energy (eV/atom)
1,-1.009
2,-1.618
3,-0.610
4,-1.811
5,-1.944
6,-1.880
7,-1.882
8,-1.776